[1]
First-principles (PBE) data for an optimized crystal structure of NpPdPtRh, as listed in Alexandria.

The structure in CIF format:
```
data_NpPdPtRh
_chemical_formula_sum 'Np1 Pd1 Pt1 Rh1'
_cell_length_a 4.637
_cell_length_b 4.637
_cell_length_c 4.637
_cell_angle_alpha 60.00
_cell_angle_beta 60.00
_cell_angle_gamma 60.00
_space_group_name_H-M_alt 'P 1'
_space_group_IT_number 1
_space_group_name_Hall 'P 1'
loop_
_atom_site_label
_atom_site_fract_x
_atom_site_fract_y
_atom_site_fract_z
Np1 0.000 0.000 0.000
Pd1 0.500 0.500 0.500
Pt1 0.750 0.750 0.750
Rh1 0.250 0.250 0.250
```

Energy relative to the elements (eV per atom): -0.365
Total energy (eV per atom): -8.2465
N(E_F) (states/eV/cell): 7.695
Excess energy over the best structure of this formula in the dataset (meV per atom): 159


[2]
First-principles (PBE) data for an optimized crystal structure of NpPdRuPt, as listed in Alexandria.

The structure in CIF format:
```
data_NpPdRuPt
_chemical_formula_sum 'Np1 Pd1 Ru1 Pt1'
_cell_length_a 4.612
_cell_length_b 4.612
_cell_length_c 4.612
_cell_angle_alpha 60.00
_cell_angle_beta 60.00
_cell_angle_gamma 60.00
_space_group_name_H-M_alt 'P 1'
_space_group_IT_number 1
_space_group_name_Hall 'P 1'
loop_
_atom_site_label
_atom_site_fract_x
_atom_site_fract_y
_atom_site_fract_z
Np1 0.000 0.000 0.000
Pd1 0.250 0.250 0.250
Ru1 0.750 0.750 0.750
Pt1 0.500 0.500 0.500
```

Energy relative to the elements (eV per atom): -0.176
Total energy (eV per atom): -8.5388
N(E_F) (states/eV/cell): 9.261


no.,mass density (g/cm³),magnetization (μB per atom)
1,15.11,0.81
2,15.31,0.60